1.
Compound: AgPtW
Source: Alexandria
Functional: PBE-GGA
Structure: optimized geometry

The calculation puts the density of states at the Fermi level at 1.810 states/eV per atom. The value obtained for the relative energy among the computed polymorphs is 0.7306 eV per atom. The total moment comes out at 0.0 μB/f.u.

The structure belongs to space group F-43m (No. 216); the cell edges are 6.1075, 6.1075 and 6.1075 Å and the angles 90.00°, 90.00° and 90.00°. The distinct sites, in fractional coordinates, are Ag at (0.0000, 0.0000, 0.0000), Pt at (0.2500, 0.2500, 0.2500) and W at (0.0000, 0.0000, 0.5000).

---

2.
Compound: AgPt4W
Source: Alexandria
Functional: PBE-GGA
Structure: optimized geometry

The calculation puts the density of states at the Fermi level at 0.733 states/eV per atom. The total moment comes out at 0.0 μB/f.u.

The structure belongs to space group F-43m (No. 216); the cell edges are 7.3846, 7.3846 and 7.3846 Å and the angles 90.00°, 90.00° and 90.00°. The distinct sites, in fractional coordinates, are Ag at (0.0000, 0.0000, 0.0000), Pt at (0.1248, 0.1248, 0.3752) and W at (0.2500, 0.2500, 0.7500).

---

3.
Compound: AgPtW
Source: Alexandria
Functional: PBE-GGA
Structure: optimized geometry

The calculation puts the density of states at the Fermi level at 0.895 states/eV per atom. The value obtained for the relative energy among the computed polymorphs is 0.2750 eV per atom. The total moment comes out at 0.0 μB/f.u.

The structure belongs to space group P3m1 (No. 156); the cell edges are 2.8281, 2.8281 and 7.1168 Å and the angles 90.00°, 90.00° and 120.00°. The distinct sites, in fractional coordinates, are Ag at (0.0000, 0.0000, 0.0000), Pt at (0.6667, 0.3333, 0.3474) and W at (0.3333, 0.6667, 0.6525).

---

4.
Compound: AgPtW
Source: Alexandria
Functional: PBE-GGA
Structure: optimized geometry

The calculation puts the density of states at the Fermi level at 1.349 states/eV per atom. The value obtained for the relative energy among the computed polymorphs is 0.9375 eV per atom. The total moment comes out at 0.9 μB/f.u.

The structure belongs to space group F-43m (No. 216); the cell edges are 6.1487, 6.1487 and 6.1487 Å and the angles 90.00°, 90.00° and 90.00°. The distinct sites, in fractional coordinates, are Ag at (0.0000, 0.0000, 0.0000), Pt at (0.0000, 0.0000, 0.5000) and W at (0.2500, 0.2500, 0.2500).

---

5.
Compound: AgPtW
Source: Alexandria
Functional: PBE-GGA
Structure: optimized geometry

The calculation puts the density of states at the Fermi level at 0.634 states/eV per atom. The value obtained for the relative energy among the computed polymorphs is 0.3369 eV per atom. The total moment comes out at 0.0 μB/f.u.

The structure belongs to space group Imm2 (No. 44); the cell edges are 2.7835, 4.0913 and 8.4576 Å and the angles 90.00°, 90.00° and 90.00°. The distinct sites, in fractional coordinates, are Ag at (0.0000, 0.0000, 0.0000), Pt at (0.0000, 0.0000, 0.6739) and W at (0.0000, 0.0000, 0.3270).

---

6.
Compound: AgPtW
Source: Alexandria
Functional: PBE-GGA
Structure: optimized geometry

The calculation puts the density of states at the Fermi level at 0.349 states/eV per atom. The value obtained for the relative energy among the computed polymorphs is 0.0000 eV per atom. The total moment comes out at 0.0 μB/f.u.

The structure belongs to space group P4/nmm (No. 129, origin choice 2); the cell edges are 2.8217, 2.8217 and 12.3857 Å and the angles 90.00°, 90.00° and 90.00°. The distinct sites, in fractional coordinates, are Ag at (0.2500, 0.2500, 0.0881), Pt at (0.2500, 0.2500, 0.7362) and W at (0.2500, 0.2500, 0.4132).

---

7.
Compound: AgPtW
Source: Alexandria
Functional: PBE-GGA
Structure: optimized geometry

The calculation puts the density of states at the Fermi level at 0.604 states/eV per atom. The value obtained for the relative energy among the computed polymorphs is 0.2403 eV per atom. The total moment comes out at 0.0 μB/f.u.

The structure belongs to space group I4mm (No. 107); the cell edges are 2.8208, 2.8208 and 12.3216 Å and the angles 90.00°, 90.00° and 90.00°. The distinct sites, in fractional coordinates, are Ag at (0.0000, 0.0000, 0.0000), Pt at (0.0000, 0.0000, 0.6777) and W at (0.0000, 0.0000, 0.3264).

---

8.
Compound: AgPtW4
Source: Alexandria
Functional: PBE-GGA
Structure: optimized geometry

The calculation puts the density of states at the Fermi level at 0.544 states/eV per atom. The total moment comes out at 0.0 μB/f.u.

The structure belongs to space group F-43m (No. 216); the cell edges are 7.4432, 7.4432 and 7.4432 Å and the angles 90.00°, 90.00° and 90.00°. The distinct sites, in fractional coordinates, are Ag at (0.0000, 0.0000, 0.0000), Pt at (0.2500, 0.2500, 0.7500) and W at (0.1262, 0.1262, 0.3738).

---

9.
Compound: Y4Ag2Pt
Source: Alexandria
Functional: PBE-GGA
Structure: optimized geometry

The calculation puts the density of states at the Fermi level at 1.103 states/eV per atom. The total moment comes out at 0.0 μB/f.u.

The structure belongs to space group R-3m (No. 166, hexagonal axes); the cell edges are 5.0430, 5.0430 and 24.7845 Å and the angles 90.00°, 90.00° and 120.00°. The distinct sites, in fractional coordinates, are Y at (0.0000, 0.0000, 0.1227), Y at (0.0000, 0.0000, 0.3727), Ag at (0.0000, 0.0000, 0.2465) and Pt at (0.0000, 0.0000, 0.0000).

---

10.
Compound: Y4AgPt
Source: Alexandria
Functional: PBE-GGA
Structure: optimized geometry

The calculation puts the density of states at the Fermi level at 1.246 states/eV per atom. The value obtained for the relative energy among the computed polymorphs is 0.1873 eV per atom. The total moment comes out at 0.0 μB/f.u.

The structure belongs to space group P4/mmm (No. 123); the cell edges are 4.9376, 4.9376 and 7.0712 Å and the angles 90.00°, 90.00° and 90.00°. The distinct sites, in fractional coordinates, are Y at (0.0000, 0.5000, 0.2372), Ag at (0.0000, 0.0000, 0.5000) and Pt at (0.5000, 0.5000, 0.0000).

---

11.
Compound: Y2AgPt
Source: Alexandria
Functional: PBE-GGA
Structure: optimized geometry

The calculation puts the density of states at the Fermi level at 0.870 states/eV per atom. The total moment comes out at 0.5 μB/f.u.

The structure belongs to space group R3m (No. 160, hexagonal axes); the cell edges are 3.8472, 3.8472 and 25.4014 Å and the angles 90.00°, 90.00° and 120.00°. The distinct sites, in fractional coordinates, are Y at (0.0000, 0.0000, 0.0000), Y at (0.0000, 0.0000, 0.2096), Ag at (0.0000, 0.0000, 0.4631) and Pt at (0.0000, 0.0000, 0.7306).

---

12.
Compound: YAg4Pt
Source: Alexandria
Functional: PBE-GGA
Structure: optimized geometry

The calculation puts the density of states at the Fermi level at 0.734 states/eV per atom. The total moment comes out at 0.0 μB/f.u.

The structure belongs to space group F-43m (No. 216); the cell edges are 7.7256, 7.7256 and 7.7256 Å and the angles 90.00°, 90.00° and 90.00°. The distinct sites, in fractional coordinates, are Y at (0.0000, 0.0000, 0.0000), Ag at (0.1246, 0.1246, 0.6246) and Pt at (0.2500, 0.2500, 0.2500).

---

Ordered energy results: -20.006; -38.282; -21.372; -19.385; -21.187; -22.198; -21.477; -57.329; -40.717; -37.173; -22.808; -25.121; unit eV/f.u..
Ordered ΔE_f results: 0.61; 0.28; 0.16; 0.82; 0.22; -0.12; 0.12; 0.56; -0.45; -0.40; -0.25; -0.20; unit eV per atom.